This record from Alexandria via LeMat-Bulk describes a relaxed HoSc8Ir6 crystal. The functional is PBE.

The value obtained for the mass density is 9.2 g cm⁻³. As for the raw total energy: -362.97 eV per cell.

The space group is R-3 (No. 148, hexagonal axes) and the conventional cell measures 7.9058, 7.9058 and 16.7982 Å, with angles of 90.00, 90.00 and 120.00 degrees. The asymmetric unit holds Ho at (0.0000, 0.0000, 0.0000), Sc at (0.0000, 0.0000, 0.3361), Sc at (0.0049, 0.6616, 0.8860) and Ir at (0.9998, 0.3377, 0.9439).

This record from Alexandria via LeMat-Bulk describes a relaxed Ho2ScIr crystal. The functional is PBE.

The value obtained for the mass density is 8.5 g cm⁻³. As for the raw total energy: -104.46 eV per cell.

The space group is C2/c (No. 15) and the conventional cell measures 11.281, 5.156 and 8.118 Å, with angles of 90.00, 111.10 and 90.00 degrees. The asymmetric unit holds Ho at (0.173, 0.000, 0.087), Sc at (0.000, 0.499, 0.250) and Ir at (0.000, 0.001, 0.750).